## PmScCr2O8 (PBE with a Hubbard U)

Data for a relaxed structure of PmScCr2O8.

a b c (Å): 7.1681 7.1681 6.2358
angles (deg): 90.00 90.00 90.00
Closest atoms and distances in Å follow each position.
Space group I-4m2 (No. 119)
Asymmetric unit:
Pm (0.0000, 0.0000, 0.0000) [2 per cell]  8 O 2.35-2.48
Sc (0.0000, 0.5000, 0.7500) [2 per cell]  8 O 2.27-2.35
Cr (0.0000, 0.0000, 0.5000) [2 per cell]  4 O 1.73
Cr (0.0000, 0.5000, 0.2500) [2 per cell]  4 O 1.72
O (0.0000, 0.1916, 0.6692) [8 per cell]  1 Cr 1.73
O (0.0000, 0.3222, 0.0658) [8 per cell]  1 Cr 1.72

Values from the calculation:
mass density = 4.374 g/cm³
electronic total energy = -7.69 eV per atom
density of states at the Fermi level = 2.30 states/eV per cell
spin magnetization = 0.167 μB per atom